Record 1
Below is a geometry-optimized Pu3PaMn8 structure, with properties calculated at the PBE level.

Geometry as POSCAR:
```
Pu3PaMn8
1.0
5.342 0.000 0.000
-2.671 4.626 0.000
0.000 0.000 7.579
Pu Pa Mn
3 1 8
Direct
0.000 0.000 0.000 Pu
0.000 0.000 0.377 Pu
0.333 0.667 0.882 Pu
0.333 0.667 0.510 Pa
0.333 0.167 0.691 Mn
0.501 0.001 0.189 Mn
0.501 0.499 0.189 Mn
0.667 0.333 0.438 Mn
0.667 0.333 0.941 Mn
0.833 0.167 0.691 Mn
0.833 0.667 0.691 Mn
0.999 0.499 0.189 Mn
```

Results
Mass density = 12.4 g/cm³
Formation enthalpy at 0 K = -0.01 eV/atom
Space group = P3m1, No. 156

***

Record 2
Below is a geometry-optimized MnHgCl structure, with properties calculated at the PBE level.

Geometry as POSCAR:
```
MnHgCl
1.0
0.000 3.479 3.479
3.479 0.000 3.479
3.479 3.479 0.000
Mn Hg Cl
1 1 1
Direct
0.000 0.000 0.000 Mn
0.750 0.750 0.750 Hg
0.500 0.500 0.500 Cl
```

Results
Total DFT energy (no corrections) = -3.36 eV/atom
Mass density = 5.7 g/cm³
Space group = F-43m, No. 216